[1]
! GGA-PBE NiAu, relaxed; values from VASP
! space group = P6_3/mmc (194)
! E_form = 0.355 eV per atom
&SYSTEM
  ibrav = 0, nat = 4, ntyp = 2
/
ATOMIC_SPECIES
Ni 58.69 Ni.upf
Au 196.97 Au.upf
CELL_PARAMETERS angstrom
3.9805 0.0000 0.0000
-1.9903 3.4472 0.0000
0.0000 0.0000 4.7677
ATOMIC_POSITIONS crystal
Ni 0.0000 0.0000 0.0000
Ni 0.0000 0.0000 0.5000
Au 0.6667 0.3333 0.7500
Au 0.3333 0.6667 0.2500

***

[2]
! GGA-PBE NiAu, relaxed; values from VASP
! space group = Pm-3n (223)
! E_form = 0.981 eV per atom
&SYSTEM
  ibrav = 0, nat = 12, ntyp = 2
/
ATOMIC_SPECIES
Au 196.97 Au.upf
Ni 58.69 Ni.upf
CELL_PARAMETERS angstrom
-4.8314 4.5376 1.9755
-4.8083 -3.6500 -3.3754
-1.1720 -3.7313 5.7043
ATOMIC_POSITIONS crystal
Au 0.0000 0.5000 0.7500
Au 0.5000 0.2500 0.0000
Au 0.0000 0.5000 0.2500
Au 0.5000 0.7500 0.0000
Au 0.2500 0.0000 0.5000
Au 0.7500 0.0000 0.5000
Ni 0.7500 0.5000 0.0000
Ni 0.0000 0.7500 0.5000
Ni 0.5000 0.0000 0.2500
Ni 0.2500 0.5000 0.0000
Ni 0.5000 0.0000 0.7500
Ni 0.0000 0.2500 0.5000

***

[3]
! GGA-PBE NiAu5, relaxed; values from VASP
! E above lowest polymorph = 5 meV per atom
! space group = Cmmm (65)
! E_form = 0.057 eV per atom
&SYSTEM
  ibrav = 0, nat = 6, ntyp = 2
/
ATOMIC_SPECIES
Au 196.97 Au.upf
Ni 58.69 Ni.upf
CELL_PARAMETERS angstrom
3.9190 0.0000 0.0000
0.0000 4.1737 0.0000
0.0000 -2.0868 6.2290
ATOMIC_POSITIONS crystal
Au 0.5000 0.5000 0.0000
Au 0.0000 0.6639 0.3279
Au 0.0000 0.3361 0.6721
Au 0.5000 0.8413 0.6827
Au 0.5000 0.1587 0.3173
Ni 0.0000 0.0000 0.0000

***

[4]
! GGA-PBE Ni4Au, relaxed; values from VASP
! E above lowest polymorph = 215 meV per atom
! space group = I4/mmm (139)
! E_form = 0.306 eV per atom
&SYSTEM
  ibrav = 0, nat = 5, ntyp = 2
/
ATOMIC_SPECIES
Au 196.97 Au.upf
Ni 58.69 Ni.upf
CELL_PARAMETERS angstrom
-1.7104 1.7104 5.6567
1.7104 -1.7104 5.6567
1.7104 1.7104 -5.6567
ATOMIC_POSITIONS crystal
Au 0.0000 0.0000 0.0000
Ni 0.3960 0.3960 0.0000
Ni 0.2500 0.7500 0.5000
Ni 0.6040 0.6040 0.0000
Ni 0.7500 0.2500 0.5000

***

[5]
! GGA-PBE Ni2Au, relaxed; values from VASP
! space group = P4/mmm (123)
! E_form = 0.381 eV per atom
&SYSTEM
  ibrav = 0, nat = 3, ntyp = 2
/
ATOMIC_SPECIES
Ni 58.69 Ni.upf
Au 196.97 Au.upf
CELL_PARAMETERS angstrom
3.3820 0.0000 0.0000
0.0000 3.3820 0.0000
0.0000 0.0000 4.0087
ATOMIC_POSITIONS crystal
Ni 0.0000 0.5000 0.5000
Ni 0.5000 0.0000 0.5000
Au 0.0000 0.0000 0.0000

***

[6]
! GGA-PBE Ni2Au, relaxed; values from VASP
! space group = I4_1/amd (141)
! E_form = 0.414 eV per atom
&SYSTEM
  ibrav = 0, nat = 6, ntyp = 2
/
ATOMIC_SPECIES
Ni 58.69 Ni.upf
Au 196.97 Au.upf
CELL_PARAMETERS angstrom
-1.6737 1.6737 7.8357
1.6737 -1.6737 7.8357
1.6737 1.6737 -7.8357
ATOMIC_POSITIONS crystal
Ni 0.5760 0.5760 0.0000
Ni 0.1740 0.6740 0.5000
Ni 0.3260 0.8260 0.5000
Ni 0.4240 0.4240 0.0000
Au 0.0000 0.0000 0.0000
Au 0.7500 0.2500 0.5000

***

[7]
! GGA-PBE Ni3Au, relaxed; values from VASP
! space group = P4/mmm (123)
! E_form = 0.108 eV per atom
&SYSTEM
  ibrav = 0, nat = 4, ntyp = 2
/
ATOMIC_SPECIES
Au 196.97 Au.upf
Ni 58.69 Ni.upf
CELL_PARAMETERS angstrom
2.7265 -0.0081 0.0000
0.0086 2.7265 0.0000
0.0000 0.0000 6.8746
ATOMIC_POSITIONS crystal
Au 0.0000 0.0000 0.0000
Ni 0.0000 0.0000 0.5000
Ni 0.5000 0.5000 0.2819
Ni 0.5000 0.5000 0.7181

***

[8]
! GGA-PBE NiAu, relaxed; values from VASP
! space group = P6_3/mmc (194)
! E_form = 0.731 eV per atom
&SYSTEM
  ibrav = 0, nat = 4, ntyp = 2
/
ATOMIC_SPECIES
Ni 58.69 Ni.upf
Au 196.97 Au.upf
CELL_PARAMETERS angstrom
4.2866 0.0000 0.0000
-2.1433 3.7123 0.0000
0.0000 0.0000 5.0831
ATOMIC_POSITIONS crystal
Ni 0.6667 0.3333 0.7500
Ni 0.3333 0.6667 0.2500
Au 0.6667 0.3333 0.2500
Au 0.3333 0.6667 0.7500